No. 1
Compound: TaFeTe4
Source: Alexandria via LeMat-Bulk
Functional: PBE-GGA
Structure: optimized geometry

Output
Size of the total moment in μB/cell: 0.00
Space-group type: C2/c (15)
E_form (uncorrected) in eV per atom: -0.10
Total DFT energy (no corrections) in eV/cell: -67.0
Relative energy among the computed polymorphs in meV per atom: 0

a = 8.6685 Å, b = 8.6685 Å, c = 5.8253 Å
α = 108.96°, β = 108.96°, γ = 120.43°
Atoms (fractional coordinates):
Ta (0.0464, 0.9536, 0.7500)
Ta (0.9536, 0.0464, 0.2500)
Fe (0.3094, 0.6906, 0.2500)
Fe (0.6906, 0.3094, 0.7500)
Te (0.0164, 0.6205, 0.8027)
Te (0.2428, 0.3690, 0.8625)
Te (0.3690, 0.2428, 0.3625)
Te (0.3795, 0.9836, 0.6973)
Te (0.6205, 0.0164, 0.3027)
Te (0.6310, 0.7572, 0.6375)
Te (0.7572, 0.6310, 0.1375)
Te (0.9836, 0.3795, 0.1973)

No. 2
Compound: Ho4Ni2Bi
Source: Alexandria via LeMat-Bulk
Functional: PBE-GGA
Structure: optimized geometry

Output
Size of the total moment in μB/cell: 0.00
Space-group type: Fddd (70)
Total DFT energy (no corrections) in eV/cell: -71.9
Formation enthalpy at 0 K in kJ/mol of formula units: -214

a = 9.2195 Å, b = 7.9173 Å, c = 7.9066 Å
α = 71.27°, β = 54.42°, γ = 54.31°
Atoms (fractional coordinates):
Ho (0.1489, 0.2803, 0.2809)
Ho (0.2101, 0.7191, 0.7197)
Ho (0.2803, 0.1489, 0.7899)
Ho (0.2809, 0.7899, 0.1489)
Ho (0.7191, 0.2101, 0.8511)
Ho (0.7197, 0.8511, 0.2101)
Ho (0.7899, 0.2809, 0.2803)
Ho (0.8511, 0.7197, 0.7191)
Ni (0.0000, 0.0000, 0.0000)
Ni (0.0000, 0.0000, 0.5000)
Ni (0.0000, 0.5000, 0.0000)
Ni (0.5000, 0.0000, 0.0000)
Bi (0.3750, 0.3750, 0.3750)
Bi (0.6250, 0.6250, 0.6250)

No. 3
Compound: SrSb
Source: Alexandria via LeMat-Bulk
Functional: PBE-GGA
Structure: optimized geometry

Output
Size of the total moment in μB/cell: 0.00
Space-group type: I4_1/amd (141)
E_form (uncorrected) in eV per atom: -0.77
Total DFT energy (no corrections) in eV/cell: -14.7

a = 6.8153 Å, b = 6.8153 Å, c = 6.8153 Å
α = 139.33°, β = 139.33°, γ = 58.88°
Atoms (fractional coordinates):
Sr (0.3750, 0.6250, 0.7500)
Sr (0.6250, 0.3750, 0.2500)
Sb (0.1250, 0.8750, 0.2500)
Sb (0.8750, 0.1250, 0.7500)

No. 4
Compound: Pr2TmCu
Source: Alexandria via LeMat-Bulk
Functional: PBE-GGA
Structure: optimized geometry

Output
Size of the total moment in μB/cell: 0.00
Space-group type: P4/mmm (123)
Total DFT energy (no corrections) in eV/cell: -18.2
Formation enthalpy at 0 K in kJ/mol of formula units: -9
Relative energy among the computed polymorphs in meV per atom: 0

a = 3.6565 Å, b = 3.6565 Å, c = 8.5551 Å
α = 90.00°, β = 90.00°, γ = 90.00°
Atoms (fractional coordinates):
Pr (0.0000, 0.0000, 0.2058)
Pr (0.0000, 0.0000, 0.7942)
Tm (0.5000, 0.5000, 0.5000)
Cu (0.5000, 0.5000, 0.0000)

No. 5
Compound: Tb5PmSc
Source: Alexandria via LeMat-Bulk
Functional: PBE-GGA
Structure: optimized geometry

Output
Size of the total moment in μB/cell: 0.00
Space-group type: P2_1/m (11)
Total DFT energy (no corrections) in eV/cell: -67.5
Formation enthalpy at 0 K in kJ/mol of formula units: 47
Relative energy among the computed polymorphs in meV per atom: 0

a = 9.2538 Å, b = 3.5745 Å, c = 13.7573 Å
α = 90.00°, β = 103.30°, γ = 90.00°
Atoms (fractional coordinates):
Tb (0.0107, 0.2500, 0.3737)
Tb (0.2012, 0.7500, 0.8818)
Tb (0.3330, 0.7500, 0.5070)
Tb (0.3482, 0.2500, 0.7205)
Tb (0.4167, 0.2500, 0.0821)
Tb (0.5833, 0.7500, 0.9179)
Tb (0.6518, 0.7500, 0.2795)
Tb (0.6670, 0.2500, 0.4930)
Tb (0.7988, 0.2500, 0.1182)
Tb (0.9893, 0.7500, 0.6263)
Pm (0.1117, 0.7500, 0.1328)
Pm (0.8883, 0.2500, 0.8672)
Sc (0.3503, 0.2500, 0.3065)
Sc (0.6497, 0.7500, 0.6935)

No. 6
Compound: Tb3PrTh4
Source: Alexandria via LeMat-Bulk
Functional: PBE-GGA
Structure: optimized geometry

Output
Size of the total moment in μB/cell: 0.00
Space-group type: C2/m (12)
Total DFT energy (no corrections) in eV/cell: -45.8
Formation enthalpy at 0 K in kJ/mol of formula units: 242

a = 9.7351 Å, b = 9.7351 Å, c = 9.3869 Å
α = 118.47°, β = 118.47°, γ = 20.48°
Atoms (fractional coordinates):
Tb (0.0000, 0.0000, 0.0000)
Tb (0.1829, 0.1829, 0.6809)
Tb (0.8171, 0.8171, 0.3191)
Pr (0.5000, 0.5000, 0.5000)
Th (0.3460, 0.3460, 0.0343)
Th (0.3509, 0.3509, 0.6615)
Th (0.6491, 0.6491, 0.3385)
Th (0.6540, 0.6540, 0.9657)

No. 7
Compound: Be2GaI
Source: Alexandria via LeMat-Bulk
Functional: PBE-GGA
Structure: optimized geometry

Output
Size of the total moment in μB/cell: 0.00
Space-group type: Fm-3m (225)
E_form (uncorrected) in eV per atom: 1.05
Total DFT energy (no corrections) in eV/cell: -7.8
Relative energy among the computed polymorphs in meV per atom: 472

a = 4.6347 Å, b = 4.6347 Å, c = 4.6347 Å
α = 60.00°, β = 60.00°, γ = 60.00°
Atoms (fractional coordinates):
Be (0.2500, 0.2500, 0.2500)
Be (0.7500, 0.7500, 0.7500)
Ga (0.0000, 0.0000, 0.0000)
I (0.5000, 0.5000, 0.5000)

No. 8
Compound: Li2Sn3Hg3
Source: Alexandria via LeMat-Bulk
Functional: PBE-GGA
Structure: optimized geometry

Output
Size of the total moment in μB/cell: 0.00
Space-group type: Cmcm (63)
Total DFT energy (no corrections) in eV/cell: -35.2
Formation enthalpy at 0 K in kJ/mol of formula units: -85
Relative energy among the computed polymorphs in meV per atom: 11

a = 6.0288 Å, b = 6.0288 Å, c = 14.3647 Å
α = 90.00°, β = 90.00°, γ = 134.30°
Atoms (fractional coordinates):
Li (0.2099, 0.7901, 0.6203)
Li (0.2099, 0.7901, 0.8797)
Li (0.7901, 0.2099, 0.1203)
Li (0.7901, 0.2099, 0.3797)
Sn (0.0702, 0.9298, 0.1056)
Sn (0.0702, 0.9298, 0.3944)
Sn (0.3277, 0.6723, 0.2500)
Sn (0.6723, 0.3277, 0.7500)
Sn (0.9298, 0.0702, 0.6056)
Sn (0.9298, 0.0702, 0.8944)
Hg (0.3647, 0.6353, 0.0354)
Hg (0.3647, 0.6353, 0.4646)
Hg (0.3940, 0.6060, 0.7500)
Hg (0.6060, 0.3940, 0.2500)
Hg (0.6353, 0.3647, 0.5354)
Hg (0.6353, 0.3647, 0.9646)

No. 9
Compound: Er8SbC4
Source: Alexandria via LeMat-Bulk
Functional: PBE-GGA
Structure: optimized geometry

Output
Size of the total moment in μB/cell: 0.00
Space-group type: F-43m (216)
E_form (uncorrected) in eV per atom: -0.26
Total DFT energy (no corrections) in eV/cell: -80.9
Relative energy among the computed polymorphs in meV per atom: 128

a = 7.5815 Å, b = 7.5815 Å, c = 7.5815 Å
α = 60.00°, β = 60.00°, γ = 60.00°
Atoms (fractional coordinates):
Er (0.0798, 0.6401, 0.6401)
Er (0.1014, 0.1014, 0.1014)
Er (0.1014, 0.1014, 0.6957)
Er (0.1014, 0.6957, 0.1014)
Er (0.6401, 0.0798, 0.6401)
Er (0.6401, 0.6401, 0.0798)
Er (0.6401, 0.6401, 0.6401)
Er (0.6957, 0.1014, 0.1014)
Sb (0.2500, 0.2500, 0.2500)
C (0.3860, 0.8713, 0.8713)
C (0.8713, 0.3860, 0.8713)
C (0.8713, 0.8713, 0.3860)
C (0.8713, 0.8713, 0.8713)

What did the third record say?
Compound: SrSb
Source: Alexandria via LeMat-Bulk
Functional: PBE-GGA
Structure: optimized geometry

Output
Size of the total moment in μB/cell: 0.00
Space-group type: I4_1/amd (141)
E_form (uncorrected) in eV per atom: -0.77
Total DFT energy (no corrections) in eV/cell: -14.7

a = 6.8153 Å, b = 6.8153 Å, c = 6.8153 Å
α = 139.33°, β = 139.33°, γ = 58.88°
Atoms (fractional coordinates):
Sr (0.3750, 0.6250, 0.7500)
Sr (0.6250, 0.3750, 0.2500)
Sb (0.1250, 0.8750, 0.2500)
Sb (0.8750, 0.1250, 0.7500)

> Number 5 is which compound?

Tb5PmSc